A | DFT (PBE-GGA) results for a relaxed structure of CeGdZn2.

```
CeGdZn2
1.0
5.123 0.000 0.000
2.561 4.436 0.000
2.561 1.479 4.183
Ce Zn Gd
1 2 1
Direct
0.000 0.000 0.000 Ce
0.750 0.750 0.750 Zn
0.250 0.250 0.250 Zn
0.500 0.500 0.500 Gd
```


B | DFT (PBE-GGA) results for a relaxed structure of CeGdZn2.

```
CeGdZn2
1.0
-3.231 -1.543 -0.181
1.328 -2.260 -4.431
1.793 -4.061 2.608
Ce Zn Gd
1 2 1
Direct
0.500 0.500 0.500 Ce
0.000 0.000 0.500 Zn
0.000 0.500 0.000 Zn
0.500 0.000 0.000 Gd
```


Most favorable structure: A. The second most favorable one is 11 meV/atom above it.


A | DFT (PBE-GGA) results for a relaxed structure of Sc2Fe2Au.

```
Sc2Fe2Au
1.0
-2.469 2.469 3.696
2.469 -2.469 3.696
2.469 2.469 -3.696
Fe Au Sc
2 1 2
Direct
0.351 0.351 0.000 Fe
0.649 0.649 0.000 Fe
0.000 0.000 0.000 Au
0.250 0.750 0.500 Sc
0.750 0.250 0.500 Sc
```


B | DFT (PBE-GGA) results for a relaxed structure of Sc2Fe2Au.

```
Sc2Fe2Au
1.0
6.758 0.000 0.000
0.000 6.758 0.000
0.000 0.000 3.659
Au Sc Fe
2 4 4
Direct
0.500 0.500 0.000 Au
0.000 0.000 0.000 Au
0.823 0.323 0.500 Sc
0.323 0.177 0.500 Sc
0.677 0.823 0.500 Sc
0.177 0.677 0.500 Sc
0.114 0.386 0.000 Fe
0.386 0.886 0.000 Fe
0.614 0.114 0.000 Fe
0.886 0.614 0.000 Fe
```


Most favorable structure: B. The second most favorable one is 385 meV/atom above it.


A | DFT (PBE-GGA) results for a relaxed structure of ScRe2Ni.

```
ScRe2Ni
1.0
-2.239 1.929 4.064
2.400 -4.369 0.630
2.248 1.323 0.610
Re Sc Ni
2 1 1
Direct
0.000 0.000 0.000 Re
0.500 0.500 0.000 Re
0.500 0.000 0.500 Sc
0.000 0.500 0.500 Ni
```


B | DFT (PBE-GGA) results for a relaxed structure of ScRe2Ni.

```
ScRe2Ni
1.0
2.628 0.000 0.000
0.000 4.086 0.000
0.000 0.000 5.734
Re Sc Ni
2 1 1
Direct
0.000 0.000 0.529 Re
0.000 0.000 0.971 Re
0.500 0.500 0.250 Sc
0.500 0.500 0.750 Ni
```


C | DFT (PBE-GGA) results for a relaxed structure of ScRe2Ni.

```
ScRe2Ni
1.0
-1.463 -1.388 -7.297
5.450 -5.254 -0.093
0.422 -4.962 -3.068
Re Ni Sc
4 2 2
Direct
0.690 0.125 0.250 Re
0.060 0.625 0.250 Re
0.875 0.940 0.750 Re
0.375 0.310 0.750 Re
0.000 0.000 0.000 Ni
0.750 0.250 0.500 Ni
0.250 0.750 0.500 Sc
0.500 0.500 0.000 Sc
```


Most favorable structure: A. The second most favorable one is 46 meV/atom above it.


A | DFT (PBE-GGA) results for a relaxed structure of TlOsRh2.

```
TlOsRh2
1.0
-0.334 0.503 -2.804
3.594 -1.103 -0.626
-1.843 -5.565 -0.778
Rh Os Tl
2 1 1
Direct
0.000 0.000 0.721 Rh
0.000 0.000 0.279 Rh
0.500 0.500 0.500 Os
0.500 0.500 0.000 Tl
```


B | DFT (PBE-GGA) results for a relaxed structure of TlOsRh2.

```
TlOsRh2
1.0
1.429 4.607 -0.006
-1.429 4.607 -0.006
0.000 0.850 4.914
Rh Os Tl
2 1 1
Direct
0.997 0.997 0.024 Rh
0.744 0.744 0.760 Rh
0.259 0.259 0.200 Os
0.500 0.500 0.516 Tl
```


Most favorable structure: A. The second most favorable one is 38 meV/atom above it.


A | DFT (PBE-GGA) results for a relaxed structure of Sc2InCl.

```
Sc2InCl
1.0
6.352 0.018 0.044
5.493 3.189 0.044
1.826 0.494 4.489
Sc Cl In
2 1 1
Direct
0.223 0.223 0.277 Sc
0.967 0.967 0.034 Sc
0.539 0.539 0.459 Cl
0.771 0.771 0.729 In
```


B | DFT (PBE-GGA) results for a relaxed structure of Sc2InCl.

```
Sc2InCl
1.0
3.367 0.000 0.000
0.000 3.513 -0.008
0.000 0.021 7.754
Cl Sc In
1 2 1
Direct
0.500 0.250 0.250 Cl
0.000 0.250 0.987 Sc
0.000 0.250 0.513 Sc
0.500 0.750 0.750 In
```


Most favorable structure: B. The second most favorable one is 158 meV/atom above it.


A | DFT (PBE-GGA) results for a relaxed structure of Tc2NiRh.

```
Tc2NiRh
1.0
4.754 0.002 0.000
1.877 4.368 0.000
-3.315 -2.185 2.615
Tc Rh Ni
2 1 1
Direct
0.500 0.500 0.000 Tc
0.000 0.000 0.000 Tc
0.750 0.250 0.500 Rh
0.250 0.750 0.500 Ni
```


B | DFT (PBE-GGA) results for a relaxed structure of Tc2NiRh.

```
Tc2NiRh
1.0
-0.434 0.159 -5.851
-3.017 -2.610 2.497
-2.033 1.376 -1.013
Rh Ni Tc
1 1 2
Direct
0.500 0.500 0.000 Rh
0.000 0.500 0.500 Ni
0.000 0.000 0.000 Tc
0.500 0.000 0.500 Tc
```


Most favorable structure: A. The second most favorable one is 6 meV/atom above it.